DFT (PBE) results for a relaxed structure of K2AlSiAg.

Lattice parameters (Å, degrees): 6.1585 6.1585 4.9354 90.00 90.00 90.00
Element x y z (fractional)
K (0.0000, 0.5000, 0.0000)
K (0.5000, 0.0000, 0.0000)
Al (0.0000, 0.0000, 0.5000)
Si (0.5000, 0.5000, 0.5000)
Ag (0.0000, 0.0000, 0.0000)

Raw formation energy in eV/atom: 0.640

DFT (PBE) results for a relaxed structure of K2AlAg3Sn4.

Lattice parameters (Å, degrees): 4.6829 4.6829 12.2317 90.00 90.00 90.00
Element x y z (fractional)
K (0.0000, 0.5000, 0.2476)
K (0.5000, 0.0000, 0.7524)
Al (0.5000, 0.5000, 0.0000)
Ag (0.0000, 0.0000, 0.0000)
Ag (0.0000, 0.5000, 0.6402)
Ag (0.5000, 0.0000, 0.3598)
Sn (0.0000, 0.0000, 0.5000)
Sn (0.0000, 0.5000, 0.8690)
Sn (0.5000, 0.0000, 0.1310)
Sn (0.5000, 0.5000, 0.5000)

Energy of formation in meV per atom: -100

DFT (PBE) results for a relaxed structure of KSrAlAg2.

Lattice parameters (Å, degrees): 5.2308 5.2308 5.9540 90.00 90.00 90.00
Element x y z (fractional)
K (0.0000, 0.0000, 0.0000)
Sr (0.5000, 0.5000, 0.0000)
Al (0.5000, 0.5000, 0.5000)
Ag (0.0000, 0.5000, 0.5000)
Ag (0.5000, 0.0000, 0.5000)

Energy of formation in meV per atom: 193

DFT (PBE) results for a relaxed structure of KAlTcAg2.

Lattice parameters (Å, degrees): 5.2315 5.2315 5.5187 90.00 90.00 90.00
Element x y z (fractional)
K (0.0000, 0.0000, 0.0000)
Al (0.0000, 0.0000, 0.5000)
Tc (0.5000, 0.5000, 0.5000)
Ag (0.0000, 0.5000, 0.0000)
Ag (0.5000, 0.0000, 0.0000)

Energy of formation in meV per atom: 1992

DFT (PBE) results for a relaxed structure of KAlAgTe3.

Lattice parameters (Å, degrees): 9.3341 4.1856 10.9273 90.00 110.79 90.00
Element x y z (fractional)
K (0.2240, 0.2500, 0.2348)
K (0.7760, 0.7500, 0.7652)
Al (0.1630, 0.2500, 0.6465)
Al (0.8370, 0.7500, 0.3535)
Ag (0.3569, 0.7500, 0.9130)
Ag (0.6431, 0.2500, 0.0870)
Te (0.1254, 0.2500, 0.8765)
Te (0.1747, 0.7500, 0.4970)
Te (0.4796, 0.2500, 0.7961)
Te (0.5204, 0.7500, 0.2039)
Te (0.8253, 0.2500, 0.5030)
Te (0.8746, 0.7500, 0.1235)

Raw formation energy in eV/atom: -0.418

DFT (PBE) results for a relaxed structure of La6Al2Ag.

Lattice parameters (Å, degrees): 5.7874 9.2812 11.4170 90.00 116.94 90.00
Element x y z (fractional)
La (0.0066, 0.1495, 0.4255)
La (0.0066, 0.3505, 0.9255)
La (0.3437, 0.0090, 0.3037)
La (0.3437, 0.4910, 0.8037)
La (0.3888, 0.6676, 0.4220)
La (0.3888, 0.8324, 0.9220)
La (0.6112, 0.1676, 0.0780)
La (0.6112, 0.3324, 0.5780)
La (0.6563, 0.5090, 0.1963)
La (0.6563, 0.9910, 0.6963)
La (0.9934, 0.6495, 0.0745)
La (0.9934, 0.8505, 0.5745)
Al (0.2111, 0.1526, 0.7474)
Al (0.2111, 0.3474, 0.2474)
Al (0.7889, 0.6526, 0.7526)
Al (0.7889, 0.8474, 0.2526)
Ag (0.0000, 0.0000, 0.0000)
Ag (0.0000, 0.5000, 0.5000)

Energy of formation in meV per atom: -143
Excess energy over the best structure of this formula in the dataset in eV/f.u.: 0.36

DFT (PBE) results for a relaxed structure of La3Al4Ag.

Lattice parameters (Å, degrees): 5.8843 11.5558 6.1314 90.00 90.00 90.00
Element x y z (fractional)
La (0.2500, 0.0022, 0.1751)
La (0.2500, 0.2500, 0.5482)
La (0.2500, 0.4978, 0.1751)
La (0.7500, 0.5022, 0.8249)
La (0.7500, 0.7500, 0.4518)
La (0.7500, 0.9978, 0.8249)
Al (0.0111, 0.2500, 0.0436)
Al (0.2500, 0.6155, 0.6768)
Al (0.2500, 0.8845, 0.6768)
Al (0.4889, 0.2500, 0.0436)
Al (0.5111, 0.7500, 0.9564)
Al (0.7500, 0.1155, 0.3232)
Al (0.7500, 0.3845, 0.3232)
Al (0.9889, 0.7500, 0.9564)
Ag (0.2500, 0.7500, 0.3176)
Ag (0.7500, 0.2500, 0.6824)

Energy of formation in meV per atom: -326

DFT (PBE) results for a relaxed structure of LaAl4Ag.

Lattice parameters (Å, degrees): 5.5973 5.5973 5.5973 60.00 60.00 60.00
Element x y z (fractional)
La (0.0000, 0.0000, 0.0000)
Al (0.3739, 0.3739, 0.3739)
Al (0.3739, 0.3739, 0.8782)
Al (0.3739, 0.8782, 0.3739)
Al (0.8782, 0.3739, 0.3739)
Ag (0.7500, 0.7500, 0.7500)

Energy of formation in meV per atom: -132
Excess energy over the best structure of this formula in the dataset in eV/f.u.: 0.92

DFT (PBE) results for a relaxed structure of LaAlAg.

Lattice parameters (Å, degrees): 4.4888 5.1190 7.2895 69.56 84.57 74.11
Element x y z (fractional)
La (0.0009, 0.3692, 0.2636)
La (0.9991, 0.6308, 0.7364)
Al (0.3014, 0.8700, 0.9987)
Al (0.6986, 0.1300, 0.0013)
Ag (0.4977, 0.8087, 0.3812)
Ag (0.5023, 0.1913, 0.6188)

Energy of formation in meV per atom: -231

DFT (PBE) results for a relaxed structure of La2AlAg2.

Lattice parameters (Å, degrees): 6.0762 6.0762 11.3627 115.02 115.02 44.88
Element x y z (fractional)
La (0.0147, 0.0147, 0.3404)
La (0.1973, 0.1973, 0.1118)
La (0.8027, 0.8027, 0.8882)
La (0.9853, 0.9853, 0.6596)
Al (0.2739, 0.2739, 0.6491)
Al (0.7261, 0.7261, 0.3509)
Ag (0.3521, 0.3521, 0.4378)
Ag (0.4912, 0.4912, 0.1209)
Ag (0.5088, 0.5088, 0.8791)
Ag (0.6479, 0.6479, 0.5622)

Energy of formation in meV per atom: -305
Excess energy over the best structure of this formula in the dataset in eV/f.u.: 0.00

DFT (PBE) results for a relaxed structure of LaAl3Ag2.

Lattice parameters (Å, degrees): 5.6324 5.6324 4.4000 90.00 90.00 120.00
Element x y z (fractional)
La (0.0000, 0.0000, 0.0000)
Al (0.0000, 0.5000, 0.5000)
Al (0.5000, 0.0000, 0.5000)
Al (0.5000, 0.5000, 0.5000)
Ag (0.3333, 0.6667, 0.0000)
Ag (0.6667, 0.3333, 0.0000)

Energy of formation in meV per atom: -376
Excess energy over the best structure of this formula in the dataset in eV/f.u.: 0.00

DFT (PBE) results for a relaxed structure of La2AlAg.

Lattice parameters (Å, degrees): 11.4674 11.4674 11.4674 156.67 156.67 33.22
Element x y z (fractional)
La (0.1047, 0.6250, 0.9797)
La (0.3750, 0.3547, 0.4797)
La (0.6453, 0.1250, 0.0203)
La (0.8750, 0.8953, 0.5203)
Al (0.0000, 0.0000, 0.0000)
Al (0.7500, 0.2500, 0.5000)
Ag (0.2500, 0.7500, 0.5000)
Ag (0.5000, 0.5000, 0.0000)

Energy of formation in meV per atom: 294

DFT (PBE) results for a relaxed structure of La5Al2Ag.

Lattice parameters (Å, degrees): 9.6673 9.6673 9.6673 131.40 131.40 71.19
Element x y z (fractional)
La (0.0000, 0.0000, 0.0000)
La (0.0249, 0.5249, 0.8447)
La (0.1802, 0.0249, 0.5000)
La (0.3198, 0.8198, 0.8447)
La (0.4751, 0.3198, 0.5000)
La (0.5000, 0.5000, 0.0000)
La (0.5249, 0.6802, 0.5000)
La (0.6802, 0.1802, 0.1553)
La (0.8198, 0.9751, 0.5000)
La (0.9751, 0.4751, 0.1553)
Al (0.1164, 0.3836, 0.5000)
Al (0.3836, 0.8836, 0.2672)
Al (0.6164, 0.1164, 0.7328)
Al (0.8836, 0.6164, 0.5000)
Ag (0.2500, 0.2500, 0.0000)
Ag (0.7500, 0.7500, 0.0000)

Energy of formation in meV per atom: -223

DFT (PBE) results for a relaxed structure of La2Al2Ag.

Lattice parameters (Å, degrees): 7.1533 7.1533 5.0017 90.00 90.00 90.00
Element x y z (fractional)
La (0.1675, 0.3325, 0.0000)
La (0.3325, 0.8325, 0.0000)
La (0.6675, 0.1675, 0.0000)
La (0.8325, 0.6675, 0.0000)
Al (0.1355, 0.6355, 0.5000)
Al (0.3645, 0.1355, 0.5000)
Al (0.6355, 0.8645, 0.5000)
Al (0.8645, 0.3645, 0.5000)
Ag (0.0000, 0.0000, 0.5000)
Ag (0.5000, 0.5000, 0.5000)

Energy of formation in meV per atom: -325
Excess energy over the best structure of this formula in the dataset in eV/f.u.: 0.24

DFT (PBE) results for a relaxed structure of LaAlAg.

Lattice parameters (Å, degrees): 5.8808 5.8808 7.6940 127.57 127.57 47.74
Element x y z (fractional)
La (0.0391, 0.0391, 0.2988)
La (0.9609, 0.9609, 0.7012)
Al (0.3413, 0.3413, 0.8955)
Al (0.6587, 0.6587, 0.1045)
Ag (0.3243, 0.3243, 0.2665)
Ag (0.6757, 0.6757, 0.7335)

Energy of formation in meV per atom: -387

DFT (PBE) results for a relaxed structure of LaAlAg.

Lattice parameters (Å, degrees): 4.8782 4.8782 4.8782 60.00 60.00 60.00
Element x y z (fractional)
La (0.0000, 0.0000, 0.0000)
Al (0.5000, 0.5000, 0.5000)
Ag (0.2500, 0.2500, 0.2500)

Energy of formation in meV per atom: -168

DFT (PBE) results for a relaxed structure of LaAl2Ag4.

Lattice parameters (Å, degrees): 5.7183 5.7183 5.7183 103.36 103.36 122.54
Element x y z (fractional)
La (0.0000, 0.0000, 0.0000)
Al (0.2500, 0.7500, 0.5000)
Al (0.7500, 0.2500, 0.5000)
Ag (0.3032, 0.3032, 0.6064)
Ag (0.3032, 0.6968, 0.0000)
Ag (0.6968, 0.3032, 0.0000)
Ag (0.6968, 0.6968, 0.3936)

Energy of formation in meV per atom: -246

DFT (PBE) results for a relaxed structure of La4AlAg3.

Lattice parameters (Å, degrees): 3.8965 4.8669 12.0445 90.00 90.00 90.00
Element x y z (fractional)
La (0.0000, 0.0000, 0.0000)
La (0.0000, 0.5000, 0.2930)
La (0.5000, 0.0000, 0.4996)
La (0.5000, 0.5000, 0.7985)
Al (0.0000, 0.0000, 0.7200)
Ag (0.0000, 0.5000, 0.5806)
Ag (0.5000, 0.0000, 0.2198)
Ag (0.5000, 0.5000, 0.0764)

Energy of formation in meV per atom: -257
Excess energy over the best structure of this formula in the dataset in eV/f.u.: 0.19

DFT (PBE) results for a relaxed structure of La2Al5Ag.

Lattice parameters (Å, degrees): 6.4725 6.4725 6.4725 120.78 120.78 88.66
Element x y z (fractional)
La (0.0000, 0.5000, 0.5000)
La (0.5000, 0.0000, 0.5000)
Al (0.0431, 0.0431, 0.5792)
Al (0.0431, 0.4639, 0.0000)
Al (0.4639, 0.0431, 0.0000)
Al (0.4639, 0.4639, 0.4208)
Al (0.4757, 0.4757, 0.0000)
Ag (0.7676, 0.7676, 0.0000)

Energy of formation in meV per atom: -289
Excess energy over the best structure of this formula in the dataset in eV/f.u.: 0.87

DFT (PBE) results for a relaxed structure of LaAlAg4.

Lattice parameters (Å, degrees): 4.8292 5.3135 10.3464 104.71 103.48 90.14
Element x y z (fractional)
La (0.2502, 0.2112, 0.0004)
La (0.7498, 0.7888, 0.9996)
Al (0.0000, 0.5000, 0.5000)
Al (0.5000, 0.0000, 0.5000)
Ag (0.0727, 0.9973, 0.6451)
Ag (0.1417, 0.5635, 0.7839)
Ag (0.3577, 0.7804, 0.2159)
Ag (0.4275, 0.3530, 0.3552)
Ag (0.5725, 0.6470, 0.6448)
Ag (0.6423, 0.2196, 0.7841)
Ag (0.8583, 0.4365, 0.2161)
Ag (0.9273, 0.0027, 0.3549)

Energy of formation in meV per atom: -81
Excess energy over the best structure of this formula in the dataset in eV/f.u.: 0.51

DFT (PBE) results for a relaxed structure of La2AlAg.

Lattice parameters (Å, degrees): 6.0250 6.0250 6.0250 45.85 45.85 45.85
Element x y z (fractional)
La (0.0000, 0.0000, 0.0000)
La (0.2319, 0.2319, 0.2319)
Al (0.4462, 0.4462, 0.4462)
Ag (0.7815, 0.7815, 0.7815)

Energy of formation in meV per atom: -235

DFT (PBE) results for a relaxed structure of La3Al2Ag3.

Lattice parameters (Å, degrees): 8.7016 15.8774 5.9496 90.00 90.00 90.00
Element x y z (fractional)
La (0.0503, 0.1047, 0.1345)
La (0.0503, 0.3953, 0.1345)
La (0.1847, 0.2500, 0.6202)
La (0.3153, 0.7500, 0.1202)
La (0.4497, 0.6047, 0.6345)
La (0.4497, 0.8953, 0.6345)
La (0.5503, 0.1047, 0.3655)
La (0.5503, 0.3953, 0.3655)
La (0.6847, 0.2500, 0.8798)
La (0.8153, 0.7500, 0.3798)
La (0.9497, 0.6047, 0.8655)
La (0.9497, 0.8953, 0.8655)
Al (0.1037, 0.6019, 0.3690)
Al (0.1037, 0.8981, 0.3690)
Al (0.3963, 0.1019, 0.8690)
Al (0.3963, 0.3981, 0.8690)
Al (0.6037, 0.6019, 0.1310)
Al (0.6037, 0.8981, 0.1310)
Al (0.8963, 0.1019, 0.6310)
Al (0.8963, 0.3981, 0.6310)
Ag (0.1658, 0.7500, 0.6065)
Ag (0.1841, 0.0371, 0.6160)
Ag (0.1841, 0.4629, 0.6160)
Ag (0.3159, 0.5371, 0.1160)
Ag (0.3159, 0.9629, 0.1160)
Ag (0.3342, 0.2500, 0.1065)
Ag (0.6658, 0.7500, 0.8935)
Ag (0.6841, 0.0371, 0.8840)
Ag (0.6841, 0.4629, 0.8840)
Ag (0.8159, 0.5371, 0.3840)
Ag (0.8159, 0.9629, 0.3840)
Ag (0.8342, 0.2500, 0.3935)

Energy of formation in meV per atom: -323

DFT (PBE) results for a relaxed structure of La2Al5Ag3.

Lattice parameters (Å, degrees): 4.3646 4.3646 11.4391 90.00 90.00 90.00
Element x y z (fractional)
La (0.0000, 0.5000, 0.2360)
La (0.5000, 0.0000, 0.7640)
Al (0.0000, 0.0000, 0.0000)
Al (0.0000, 0.0000, 0.5000)
Al (0.0000, 0.5000, 0.8658)
Al (0.5000, 0.0000, 0.1342)
Al (0.5000, 0.5000, 0.0000)
Ag (0.0000, 0.5000, 0.6441)
Ag (0.5000, 0.0000, 0.3559)
Ag (0.5000, 0.5000, 0.5000)

Energy of formation in meV per atom: -327
Excess energy over the best structure of this formula in the dataset in eV/f.u.: 0.78

Computed density, in the same sequence as the records: 2.14, 5.59, 3.77, 4.18, 4.63, 6.05, 5.04, 4.75, 6.02, 6.57, 5.98, 5.80, 5.71, 5.70, 6.20, 5.54, 7.50, 6.59, 4.56, 7.96, 6.67, 6.42, 5.61 Mg/m³.
Computed DOS at the Fermi energy, in the same sequence as the records: 2.875, 3.790, 2.606, 3.475, 8.255, 21.744, 10.703, 3.507, 3.530, 10.941, 3.136, 8.684, 23.652, 19.712, 5.220, 5.190, 4.006, 9.112, 4.546, 5.215, 1.619, 28.354, 6.369 states/eV/cell.